# 1
First-principles (PBE) data for crystalline Sm3Pb5S12 at its relaxed geometry, as listed in the Alexandria database.

Cell: 14.192 14.192 14.192 Å, 109.47 109.47 109.47°
Fractional positions:
1 Sm 0.125 0.250 0.375
2 Sm 0.125 0.375 0.750
3 Sm 0.250 0.375 0.125
4 Sm 0.250 0.875 0.625
5 Sm 0.375 0.125 0.250
6 Sm 0.375 0.750 0.125
7 Sm 0.625 0.250 0.875
8 Sm 0.625 0.875 0.750
9 Sm 0.750 0.125 0.375
10 Sm 0.750 0.625 0.875
11 Sm 0.875 0.625 0.250
12 Sm 0.875 0.750 0.625
13 Pb 0.000 0.000 0.000
14 Pb 0.000 0.000 0.500
15 Pb 0.000 0.500 0.000
16 Pb 0.000 0.500 0.500
17 Pb 0.125 0.750 0.875
18 Pb 0.125 0.875 0.250
19 Pb 0.250 0.125 0.875
20 Pb 0.250 0.625 0.375
21 Pb 0.375 0.250 0.625
22 Pb 0.375 0.625 0.750
23 Pb 0.500 0.000 0.000
24 Pb 0.500 0.000 0.500
25 Pb 0.500 0.500 0.000
26 Pb 0.500 0.500 0.500
27 Pb 0.625 0.375 0.250
28 Pb 0.625 0.750 0.375
29 Pb 0.750 0.375 0.625
30 Pb 0.750 0.875 0.125
31 Pb 0.875 0.125 0.750
32 Pb 0.875 0.250 0.125
33 S 0.055 0.228 0.142
34 S 0.055 0.327 0.913
35 S 0.086 0.728 0.673
36 S 0.086 0.858 0.413
37 S 0.087 0.642 0.414
38 S 0.087 0.945 0.673
39 S 0.142 0.055 0.228
40 S 0.142 0.587 0.914
41 S 0.173 0.228 0.586
42 S 0.173 0.445 0.587
43 S 0.228 0.142 0.055
44 S 0.228 0.586 0.173
45 S 0.272 0.327 0.914
46 S 0.272 0.445 0.358
47 S 0.327 0.913 0.055
48 S 0.327 0.914 0.272
49 S 0.358 0.272 0.445
50 S 0.358 0.586 0.913
51 S 0.413 0.086 0.858
52 S 0.413 0.827 0.555
53 S 0.414 0.087 0.642
54 S 0.414 0.827 0.772
55 S 0.445 0.358 0.272
56 S 0.445 0.587 0.173
57 S 0.555 0.413 0.827
58 S 0.555 0.642 0.728
59 S 0.586 0.173 0.228
60 S 0.586 0.913 0.358
61 S 0.587 0.173 0.445
62 S 0.587 0.914 0.142
63 S 0.642 0.414 0.087
64 S 0.642 0.728 0.555
65 S 0.673 0.086 0.728
66 S 0.673 0.087 0.945
67 S 0.728 0.555 0.642
68 S 0.728 0.673 0.086
69 S 0.772 0.414 0.827
70 S 0.772 0.858 0.945
71 S 0.827 0.555 0.413
72 S 0.827 0.772 0.414
73 S 0.858 0.413 0.086
74 S 0.858 0.945 0.772
75 S 0.913 0.055 0.327
76 S 0.913 0.358 0.586
77 S 0.914 0.142 0.587
78 S 0.914 0.272 0.327
79 S 0.945 0.673 0.087
80 S 0.945 0.772 0.858

Properties
Crystal system = cubic
Theoretical density = 5.650 g/cm³
Space-group type = No. 230

# 2
First-principles (PBE) data for crystalline Sm4Pb3S8 at its relaxed geometry, as listed in the Alexandria database.

Cell: 8.218 8.218 8.178 Å, 119.73 119.73 89.98°
Fractional positions:
1 Sm 0.000 0.000 0.000
2 Sm 0.000 0.000 0.500
3 Sm 0.000 0.500 0.000
4 Sm 0.500 0.000 0.000
5 Pb 0.000 0.500 0.500
6 Pb 0.500 0.000 0.500
7 Pb 0.500 0.500 0.500
8 S 0.233 0.233 0.482
9 S 0.239 0.239 0.990
10 S 0.244 0.756 0.500
11 S 0.245 0.755 0.000
12 S 0.755 0.245 0.000
13 S 0.756 0.244 0.500
14 S 0.761 0.761 0.010
15 S 0.767 0.767 0.518

Properties
Crystal system = monoclinic
Theoretical density = 6.238 g/cm³
Space-group type = No. 12

Formation energy (no corrections) readings, ordered: -0.815 -1.374 eV/atom
DFT total energy readings, ordered: -394.1 -83.6 eV/cell